First-principles (PBE) data for a relaxed SiGe2Bi crystal, as listed in the Alexandria database.

```
data_SiGe2Bi
_cell_length_a 7.037
_cell_length_b 7.037
_cell_length_c 7.037
_cell_angle_alpha 90.00
_cell_angle_beta 90.00
_cell_angle_gamma 90.00
_space_group_name_H-M_alt 'F m -3 m'
_space_group_IT_number 225
_space_group_name_Hall '-F 4 2 3'
loop_
_atom_site_label
_atom_site_type_symbol
_atom_site_fract_x
_atom_site_fract_y
_atom_site_fract_z
_atom_site_occupancy
Si1 Si 0.000 0.000 0.000 1
Ge1 Ge 0.250 0.250 0.250 1
Bi1 Bi 0.000 0.000 0.500 1
```

- density of states at the Fermi level (states/eV/f.u.) = 1.67
- ΔE_f (raw) (eV per atom) = 0.4971
- offset from the most stable computed form (meV per atom) = 262
- volume (Å³/f.u.) = 87
- magnetic moment (μB per formula unit) = 0.0



First-principles (PBE) data for a relaxed Pa2CuNi9 crystal, as listed in the Alexandria database.

```
data_Pa2CuNi9
_cell_length_a 3.834
_cell_length_b 3.834
_cell_length_c 10.868
_cell_angle_alpha 90.00
_cell_angle_beta 90.00
_cell_angle_gamma 90.00
_space_group_name_H-M_alt 'P 4/m m m'
_space_group_IT_number 123
_space_group_name_Hall '-P 4 2'
loop_
_atom_site_label
_atom_site_type_symbol
_atom_site_fract_x
_atom_site_fract_y
_atom_site_fract_z
_atom_site_occupancy
Pa1 Pa 0.000 0.000 0.186 1
Cu1 Cu 0.000 0.000 0.500 1
Ni1 Ni 0.000 0.500 0.000 1
Ni2 Ni 0.000 0.500 0.349 1
Ni3 Ni 0.500 0.500 0.172 1
Ni4 Ni 0.500 0.500 0.500 1
```

- density of states at the Fermi level (states/eV/f.u.) = 4.07
- offset from the most stable computed form (meV per atom) = 0
- volume (Å³/f.u.) = 160
- magnetic moment (μB per formula unit) = 0.0



First-principles (PBE) data for a relaxed TeWBr2 crystal, as listed in the Alexandria database.

```
data_TeWBr2
_cell_length_a 3.273
_cell_length_b 4.924
_cell_length_c 5.793
_cell_angle_alpha 90.00
_cell_angle_beta 90.00
_cell_angle_gamma 90.00
_space_group_name_H-M_alt 'P m m m'
_space_group_IT_number 47
_space_group_name_Hall '-P 2 2'
loop_
_atom_site_label
_atom_site_type_symbol
_atom_site_fract_x
_atom_site_fract_y
_atom_site_fract_z
_atom_site_occupancy
Te1 Te 0.000 0.000 0.000 1
W1 W 0.500 0.000 0.500 1
Br1 Br 0.000 0.500 0.500 1
Br2 Br 0.500 0.500 0.000 1
```

- density of states at the Fermi level (states/eV/f.u.) = 2.42
- ΔE_f (raw) (eV per atom) = 1.0155
- offset from the most stable computed form (meV per atom) = 1070
- volume (Å³/f.u.) = 93
- magnetic moment (μB per formula unit) = 2.9



First-principles (PBE) data for a relaxed La2TlGaH crystal, as listed in the Alexandria database.

```
data_La2TlGaH
_cell_length_a 4.943
_cell_length_b 4.943
_cell_length_c 4.762
_cell_angle_alpha 90.00
_cell_angle_beta 90.00
_cell_angle_gamma 90.00
_space_group_name_H-M_alt 'P 4/m m m'
_space_group_IT_number 123
_space_group_name_Hall '-P 4 2'
loop_
_atom_site_label
_atom_site_type_symbol
_atom_site_fract_x
_atom_site_fract_y
_atom_site_fract_z
_atom_site_occupancy
La1 La 0.000 0.500 0.000 1
Tl1 Tl 0.000 0.000 0.500 1
Ga1 Ga 0.500 0.500 0.500 1
H1 H 0.000 0.000 0.000 1
```

- density of states at the Fermi level (states/eV/f.u.) = 4.04
- offset from the most stable computed form (meV per atom) = 31
- volume (Å³/f.u.) = 116
- magnetic moment (μB per formula unit) = 0.0



First-principles (PBE) data for a relaxed Dy3TmZn8 crystal, as listed in the Alexandria database.

```
data_Dy3TmZn8
_cell_length_a 5.4575
_cell_length_b 5.4575
_cell_length_c 26.5862
_cell_angle_alpha 90.00
_cell_angle_beta 90.00
_cell_angle_gamma 120.00
_space_group_name_H-M_alt 'R 3 m'
_space_group_IT_number 160
_space_group_name_Hall 'R 3 -2"'
loop_
_atom_site_label
_atom_site_type_symbol
_atom_site_fract_x
_atom_site_fract_y
_atom_site_fract_z
_atom_site_occupancy
Dy1 Dy 0.0000 0.0000 0.0000 1
Dy2 Dy 0.0000 0.0000 0.1248 1
Dy3 Dy 0.0000 0.0000 0.5004 1
Tm1 Tm 0.0000 0.0000 0.6250 1
Zn1 Zn 0.0000 0.0000 0.3126 1
Zn2 Zn 0.0000 0.0000 0.8125 1
Zn3 Zn 0.0005 0.5002 0.5628 1
Zn4 Zn 0.1669 0.3338 0.3956 1
```

- density of states at the Fermi level (states/eV/f.u.) = 6.55
- final energy (eV/atom) = -2.705
- volume (Å³/f.u.) = 229
- magnetic moment (μB per formula unit) = 0.0



First-principles (PBE) data for a relaxed K3Tm3GeSe8 crystal, as listed in the Alexandria database.

```
data_K3Tm3GeSe8
_cell_length_a 8.1244
_cell_length_b 8.1244
_cell_length_c 23.6031
_cell_angle_alpha 90.00
_cell_angle_beta 90.00
_cell_angle_gamma 120.00
_space_group_name_H-M_alt 'R -3 m'
_space_group_IT_number 166
_space_group_name_Hall '-R 3 2"'
loop_
_atom_site_label
_atom_site_type_symbol
_atom_site_fract_x
_atom_site_fract_y
_atom_site_fract_z
_atom_site_occupancy
K1 K 0.0000 0.5000 0.0000 1
Tm1 Tm 0.0000 0.5000 0.5000 1
Ge1 Ge 0.0000 0.0000 0.5000 1
Se1 Se 0.0000 0.0000 0.2341 1
Se2 Se 0.0198 0.5099 0.2306 1
```

- density of states at the Fermi level (states/eV/f.u.) = 1.95
- ΔE_f (raw) (eV per atom) = -1.3824
- volume (Å³/f.u.) = 450
- magnetic moment (μB per formula unit) = 0.0



First-principles (PBE) data for a relaxed Sc4CO crystal, as listed in the Alexandria database.

```
data_Sc4CO
_cell_length_a 6.529
_cell_length_b 6.592
_cell_length_c 9.191
_cell_angle_alpha 90.00
_cell_angle_beta 90.00
_cell_angle_gamma 90.00
_space_group_name_H-M_alt 'I m m a'
_space_group_IT_number 74
_space_group_name_Hall '-I 2b 2'
loop_
_atom_site_label
_atom_site_type_symbol
_atom_site_fract_x
_atom_site_fract_y
_atom_site_fract_z
_atom_site_occupancy
Sc1 Sc 0.000 0.010 0.244 1
Sc2 Sc 0.238 0.250 0.003 1
C1 C 0.000 0.000 0.000 1
O1 O 0.250 0.250 0.250 1
```

- density of states at the Fermi level (states/eV/f.u.) = 4.27
- ΔE_f (raw) (eV per atom) = -1.2605
- offset from the most stable computed form (meV per atom) = 0
- volume (Å³/f.u.) = 99
- magnetic moment (μB per formula unit) = 0.0



First-principles (PBE) data for a relaxed CuNiS3 crystal, as listed in the Alexandria database.

```
data_CuNiS3
_cell_length_a 7.2785
_cell_length_b 7.2785
_cell_length_c 5.2119
_cell_angle_alpha 90.00
_cell_angle_beta 90.00
_cell_angle_gamma 120.00
_space_group_name_H-M_alt 'R 3 m'
_space_group_IT_number 160
_space_group_name_Hall 'R 3 -2"'
loop_
_atom_site_label
_atom_site_type_symbol
_atom_site_fract_x
_atom_site_fract_y
_atom_site_fract_z
_atom_site_occupancy
Cu1 Cu 0.0000 0.0000 0.0000 1
Ni1 Ni 0.0000 0.0000 0.5145 1
S1 S 0.0204 0.5102 0.8997 1
```

- density of states at the Fermi level (states/eV/f.u.) = 3.42
- ΔE_f (raw) (eV per atom) = 0.2502
- offset from the most stable computed form (meV per atom) = 0
- volume (Å³/f.u.) = 80
- magnetic moment (μB per formula unit) = 0.0